# TiRuPt PBE-GGA relaxed
# * total energy: -8.297 eV/atom
# * total magnetic moment: 0.000 μB/cell
# * calculated formation energy: -1.68 eV/f.u.
# * E above lowest polymorph: 125 meV/atom
data_TiRuPt
_chemical_formula_sum 'Ti4 Ru4 Pt4'
_space_group_name_H-M_alt 'P 1'
_space_group_IT_number 1
_cell_length_a 4.6849
_cell_length_b 2.9378
_cell_length_c 13.5156
_cell_angle_alpha 90.00
_cell_angle_beta 102.26
_cell_angle_gamma 90.00
loop_
_space_group_symop_operation_xyz
'x,y,z'
loop_
_atom_site_label
_atom_site_fract_x
_atom_site_fract_y
_atom_site_fract_z
Pt1 0.6024 0.0000 0.5413
Pt2 0.6024 0.5000 0.0413
Ti1 0.1174 0.5000 0.5492
Pt3 0.0643 0.5000 0.2155
Pt4 0.0643 0.0000 0.7155
Ru1 0.5851 0.0000 0.2255
Ti2 0.5144 0.0000 0.8711
Ti3 0.1174 0.0000 0.0492
Ru2 0.0259 0.0000 0.3940
Ru3 0.0259 0.5000 0.8940
Ti4 0.5144 0.5000 0.3711
Ru4 0.5851 0.5000 0.7255